! Tl7Te GGA-PBE relaxed; values from VASP
! symmetry = Fm-3m (225)
! ΔE_f (raw) = -74 meV/atom
! calculated total energy = -20.296 eV for the cell shown
! calculated volume = 31.8 Å³ per atom
! total moment = 0.0 μB/f.u.
&SYSTEM
  ibrav = 0, nat = 8, ntyp = 2
/
ATOMIC_SPECIES
Tl 204.38 Tl.upf
Te 127.60 Te.upf
ATOMIC_POSITIONS angstrom
Tl 3.556 4.106 2.904
Tl 7.113 4.106 2.904
Tl 1.778 1.027 2.904
Tl 3.556 0.000 0.000
Tl 5.334 1.027 2.904
Tl 1.778 3.080 0.000
Tl 5.334 3.080 0.000
Te 0.000 0.000 0.000
CELL_PARAMETERS angstrom
7.113 0.000 0.000
3.556 6.160 0.000
3.556 2.053 5.807